First-principles (PBE) data for a geometry-optimized Ce3Ge3Ir structure, as listed in Alexandria via LeMat-Bulk.

Cell and atoms, written as POSCAR:
```
Ce3Ge3Ir
1.0
8.4109 0.0000 0.0000
-4.2054 7.2840 0.0000
0.0000 0.0000 5.7460
Ce Ge Ir
6 6 2
Cartesian
-0.9743 3.0378 1.4365 Ce
-1.0875 6.6089 1.4365 Ce
2.1436 2.3627 4.3095 Ce
2.0618 4.9214 1.4365 Ce
5.2929 0.6751 4.3095 Ce
5.1798 4.2463 4.3095 Ce
-0.7616 2.4926 4.3095 Ge
-1.6659 6.6973 4.3095 Ge
1.7779 1.9059 1.4365 Ge
2.4276 5.3781 4.3095 Ge
5.8714 0.5867 1.4365 Ge
4.9671 4.7914 1.4365 Ge
0.0000 4.8560 4.3095 Ir
4.2054 2.4280 1.4365 Ir
```

Output
Mass density (g/cm³): 7.834
Magnetization (μB/cell): 0.14
ΔH_f (0 K) (eV/atom): -0.473
DOS(E_F) (states/eV/f.u.): 11.41
E above lowest polymorph (eV per formula unit): 2.16